[1]
SrCaSm2Se4 (PBE-GGA, optimized geometry); Fermi-level density of states = 3.51 states/eV/f.u.; electronic total energy = -42.24 eV per formula unit; V = 216.0 Å³ per cell; space-group type = P2/m (10)
1.0
7.2883 0.0000 0.0000
0.0000 4.2097 0.0000
-2.4310 0.0000 7.0389
Sr Ca Sm Se
1 1 2 4
Direct
0.0000 0.0000 0.0000
0.5000 0.5000 0.0000
0.0000 0.5000 0.5000
0.5000 0.0000 0.5000
0.2550 0.0000 0.7472
0.2580 0.5000 0.2574
0.7420 0.5000 0.7426
0.7450 0.0000 0.2528

[2]
K2UPd2Se4 (PBE-GGA, optimized geometry); Fermi-level density of states = 4.44 states/eV/f.u.; electronic total energy = -46.51 eV per formula unit; V = 229.1 Å³ per cell; space-group type = C2/m (12)
1.0
7.4416 -2.0541 0.0000
7.4416 2.0541 0.0000
-2.6013 0.0000 7.4924
K U Pd Se
2 1 2 4
Direct
0.1356 0.1356 0.0774
0.8644 0.8644 0.9226
0.0000 0.0000 0.5000
0.3202 0.3202 0.5055
0.6798 0.6798 0.4945
0.1931 0.1931 0.6884
0.4891 0.4891 0.7394
0.5109 0.5109 0.2606
0.8069 0.8069 0.3116

[3]
Na2AsPbO4 (PBE-GGA, optimized geometry); Fermi-level density of states = 3.36 states/eV/f.u.; electronic total energy = -41.50 eV per formula unit; V = 269.3 Å³ per cell; space-group type = Pmn2_1 (31)
1.0
7.7492 0.0000 0.0000
0.0000 6.1425 0.0000
0.0000 0.0000 5.6577
Na As Pb O
4 2 2 8
Direct
0.2491 0.1566 0.0000
0.2509 0.8434 0.5000
0.7491 0.8434 0.5000
0.7509 0.1566 0.0000
0.0000 0.3390 0.4963
0.5000 0.6610 0.9963
0.0000 0.6376 0.9762
0.5000 0.3624 0.4762
0.0000 0.2787 0.8067
0.0000 0.6304 0.5428
0.2012 0.2134 0.4111
0.2988 0.7866 0.9111
0.5000 0.3696 0.0428
0.5000 0.7213 0.3067
0.7012 0.7866 0.9111
0.7988 0.2134 0.4111

[4]
TaCoSi2 (PBE-GGA, optimized geometry); Fermi-level density of states = 1.88 states/eV/f.u.; electronic total energy = -30.56 eV per formula unit; V = 54.8 Å³ per cell; space-group type = R-3m (166)
1.0
1.4074 0.8126 7.9852
-1.4074 0.8126 7.9852
0.0000 -1.6251 7.9852
Ta Co Si
1 1 2
Direct
0.0000 0.0000 0.0000
0.5000 0.5000 0.5000
0.2391 0.2391 0.2391
0.7609 0.7609 0.7609

[5]
TmScPtRh (PBE-GGA, optimized geometry); Fermi-level density of states = 1.08 states/eV/f.u.; electronic total energy = -28.63 eV per formula unit; relative energy among the computed polymorphs = 1.6 kJ/mol of atoms; V = 74.7 Å³ per cell; space-group type = F-43m (216)
1.0
0.0000 3.3421 3.3421
3.3421 0.0000 3.3421
3.3421 3.3421 0.0000
Tm Sc Pt Rh
1 1 1 1
Direct
0.0000 0.0000 0.0000
0.5000 0.5000 0.5000
0.7500 0.7500 0.7500
0.2500 0.2500 0.2500

[6]
CsCu2Br2 (PBE-GGA, optimized geometry); Fermi-level density of states = 2.89 states/eV/f.u.; electronic total energy = -13.80 eV per formula unit; relative energy among the computed polymorphs = 5.8 kJ/mol of atoms; V = 131.6 Å³ per cell; space-group type = I4/mmm (139)
1.0
-2.5628 2.5628 5.0085
2.5628 -2.5628 5.0085
2.5628 2.5628 -5.0085
Cs Cu Br
1 2 2
Direct
0.0000 0.0000 0.0000
0.3757 0.3757 0.0000
0.6243 0.6243 0.0000
0.2500 0.7500 0.5000
0.7500 0.2500 0.5000

[7]
Ac4PrTl4 (PBE-GGA, optimized geometry); Fermi-level density of states = 8.53 states/eV/f.u.; electronic total energy = -32.35 eV per formula unit; V = 644.5 Å³ per cell; space-group type = P4_2/n (86)
1.0
9.9602 0.0000 0.0000
0.0000 9.9602 0.0000
0.0000 0.0000 6.4964
Ac Pr Tl
8 2 8
Direct
0.0785 0.8289 0.1214
0.1711 0.5785 0.6214
0.3289 0.9215 0.6214
0.4215 0.6711 0.1214
0.5785 0.3289 0.8786
0.6711 0.0785 0.3786
0.8289 0.4215 0.3786
0.9215 0.1711 0.8786
0.2500 0.2500 0.7500
0.7500 0.7500 0.2500
0.0537 0.1501 0.3724
0.1501 0.4463 0.1276
0.3499 0.0537 0.1276
0.4463 0.3499 0.3724
0.5537 0.6501 0.6276
0.6501 0.9463 0.8724
0.8499 0.5537 0.8724
0.9463 0.8499 0.6276

[8]
Zn2GeN (PBE-GGA, optimized geometry); Fermi-level density of states = 1.01 states/eV/f.u.; electronic total energy = -14.30 eV per formula unit; relative energy among the computed polymorphs = 0.0 kJ/mol of atoms; V = 134.3 Å³ per cell; space-group type = I-42d (122)
1.0
-2.8238 2.8238 4.2117
2.8238 -2.8238 4.2117
2.8238 2.8238 -4.2117
Zn Ge N
4 2 2
Direct
0.0184 0.6250 0.8934
0.3750 0.2684 0.3934
0.7316 0.1250 0.1066
0.8750 0.9816 0.6066
0.2500 0.7500 0.5000
0.5000 0.5000 0.0000
0.0000 0.0000 0.0000
0.7500 0.2500 0.5000

[9]
NaPrHg (PBE-GGA, optimized geometry); Fermi-level density of states = 3.48 states/eV/f.u.; electronic total energy = -7.04 eV per formula unit; relative energy among the computed polymorphs = 0.0 kJ/mol of atoms; V = 174.4 Å³ per cell; space-group type = P6_3/mmc (194)
1.0
5.5411 0.0000 0.0000
-2.7706 4.7987 0.0000
0.0000 0.0000 6.5603
Na Pr Hg
2 2 2
Direct
0.0000 0.0000 0.0000
0.0000 0.0000 0.5000
0.3333 0.6667 0.2500
0.6667 0.3333 0.7500
0.3333 0.6667 0.7500
0.6667 0.3333 0.2500

[10]
Ho3CdIn (PBE-GGA, optimized geometry); Fermi-level density of states = 6.01 states/eV/f.u.; electronic total energy = -18.93 eV per formula unit; relative energy among the computed polymorphs = 0.0 kJ/mol of atoms; V = 273.7 Å³ per cell; space-group type = Cmcm (63)
1.0
2.5495 -10.5299 0.0000
2.5495 10.5299 0.0000
0.0000 0.0000 5.0968
Ho Cd In
6 2 2
Direct
0.0582 0.9418 0.7500
0.2501 0.7499 0.7500
0.4412 0.5588 0.7500
0.5588 0.4412 0.2500
0.7499 0.2501 0.2500
0.9418 0.0582 0.2500
0.1540 0.8460 0.2500
0.8460 0.1540 0.7500
0.3443 0.6557 0.2500
0.6557 0.3443 0.7500

[11]
K2Cl3 (PBE-GGA, optimized geometry); Fermi-level density of states = 1.70 states/eV/f.u.; electronic total energy = -14.31 eV per formula unit; relative energy among the computed polymorphs = 2.0 kJ/mol of atoms; V = 338.2 Å³ per cell; space-group type = Fdd2 (43)
1.0
0.0000 17.5219 1.6809
5.7417 0.0000 1.6809
5.7417 17.5219 0.0000
K Cl
4 6
Direct
0.0400 0.9600 0.1080
0.1420 0.3580 0.2100
0.3580 0.1420 0.2900
0.9600 0.0400 0.8920
0.1687 0.4556 0.5145
0.3888 0.7355 0.7944
0.4556 0.1687 0.8612
0.5003 0.5003 0.4997
0.7355 0.3888 0.0813
0.7503 0.7503 0.7497

[12]
Pm4Ag2Ge (PBE-GGA, optimized geometry); Fermi-level density of states = 8.84 states/eV/f.u.; electronic total energy = -31.15 eV per formula unit; V = 197.2 Å³ per cell; space-group type = R-3m (166)
1.0
2.6043 1.5036 8.3916
-2.6043 1.5036 8.3916
0.0000 -3.0072 8.3916
Pm Ag Ge
4 2 1
Direct
0.1238 0.1238 0.1238
0.3757 0.3757 0.3757
0.6243 0.6243 0.6243
0.8762 0.8762 0.8762
0.2512 0.2512 0.2512
0.7488 0.7488 0.7488
0.5000 0.5000 0.5000

Which formula does entry 12 have? Pm4Ag2Ge